Density functional theory data (GGA-PBE) for an optimized crystal structure of KLiCo2.

Computed properties:
Space group   Pmmm
Fermi-level density of states   0.829 states/eV per atom
Total moment   2.96 μB/f.u.
ΔE to the lowest computed polymorph   0.4196 eV per atom
VASP energy   -13.64 eV per cell
Calculated formation energy   0.897 eV per atom

a b c (Å): 2.8588 4.3833 5.1641
angles (deg): 90.00 90.00 90.00
Last column: nearest neighbours and their distance in Å.
Positions (direct):
Co  0.0000  0.0000  0.0000  6 Co 2.62-2.86
Li  0.0000  0.5000  0.5000  4 K 2.62, 2 Li 2.86
Co  0.5000  0.5000  0.0000  6 Co 2.62-2.86
K  0.5000  0.0000  0.5000  4 Li 2.62, 2 K 2.86